1.
A relaxed structure of SrCa2Co, computed with PBE.

a = 3.6850 Å, b = 5.6580 Å, c = 12.5732 Å
α = 90.00°, β = 90.00°, γ = 90.00°
Last column: nearest neighbours and their distance in Å.
Space group Imm2 (No. 44)
Inequivalent atoms, fractional coordinates:
Sr  0.0000  0.0000  0.0000 x2  2 Co 2.95
Ca  0.0000  0.0000  0.6508 x2  2 Co 2.79
Ca  0.0000  0.5000  0.8202 x2  4 Co 3.38, 4 Ca 3.54-3.69, 2 Sr 3.62
Co  0.0000  0.5000  0.3170 x2  2 Ca 2.79, 2 Sr 2.95

Results
DFT total energy   -2.88 eV/atom
ΔH_f (0 K)   0.319 eV per atom
Energy relative to the lowest polymorph listed for this composition   0.064 eV per atom

2.
A relaxed structure of Os3WCl, computed with PBE.

a = 4.8247 Å, b = 4.8247 Å, c = 4.8247 Å
α = 90.00°, β = 90.00°, γ = 90.00°
Last column: nearest neighbours and their distance in Å.
Space group Pm-3m (No. 221)
Inequivalent atoms, fractional coordinates:
Os  0.0000  0.0000  0.5000 x3  2 W 2.41
W  0.0000  0.0000  0.0000 x1  6 Os 2.41
Cl  0.5000  0.5000  0.5000 x1  12 Os 3.41

Results
DFT total energy   -7.18 eV/atom
Energy relative to the lowest polymorph listed for this composition   0.488 eV per atom